No. 1
The following is a PBE-GGA calculation of a relaxed structure of TaPCl3, from Alexandria via LeMat-Bulk.

Unit cell a=4.884 b=4.884 c=4.884 alpha=90.00 beta=90.00 gamma=90.00
Atoms (fractional coordinates):
Ta1 0.000 0.000 0.000
P1 0.500 0.500 0.500
Cl1 0.000 0.500 0.500
Cl2 0.500 0.000 0.500
Cl3 0.500 0.500 0.000

Computed properties:
The uncorrected formation energy comes out at 1.00 eV/atom. Its density of states at the Fermi level is 5.86 states/eV/cell. The calculation puts the energy relative to the lowest polymorph listed for this composition at 916 meV per atom. The density comes out at 4.54 g/cm³.


No. 2
The following is a PBE-GGA calculation of a relaxed structure of Dy4Y5Tm, from Alexandria via LeMat-Bulk.

Unit cell a=7.878 b=7.878 c=7.878 alpha=99.06 beta=99.06 gamma=133.23
Atoms (fractional coordinates):
Dy1 0.047 0.348 0.395
Dy2 0.348 0.953 0.301
Dy3 0.652 0.047 0.699
Dy4 0.953 0.652 0.605
Y1 0.228 0.228 0.000
Y2 0.271 0.651 0.916
Y3 0.355 0.271 0.620
Y4 0.651 0.735 0.380
Y5 0.735 0.355 0.084
Tm1 0.767 0.767 0.000

Computed properties:
The formation energy comes out at 0.31 eV/atom. Its density of states at the Fermi level is 16.00 states/eV/cell. The calculation puts the energy relative to the lowest polymorph listed for this composition at 256 meV per atom. The density comes out at 6.42 g/cm³.


No. 3
The following is a PBE-GGA calculation of a relaxed structure of Y2Ru2O7, from Alexandria via LeMat-Bulk.

Unit cell a=7.255 b=7.255 c=7.255 alpha=60.00 beta=60.00 gamma=60.00
Atoms (fractional coordinates):
Y1 0.000 0.000 0.000
Y2 0.000 0.000 0.500
Y3 0.000 0.500 0.000
Y4 0.500 0.000 0.000
Ru1 0.000 0.500 0.500
Ru2 0.500 0.000 0.500
Ru3 0.500 0.500 0.000
Ru4 0.500 0.500 0.500
O1 0.125 0.125 0.125
O2 0.163 0.163 0.587
O3 0.163 0.587 0.163
O4 0.163 0.587 0.587
O5 0.413 0.413 0.837
O6 0.413 0.837 0.413
O7 0.413 0.837 0.837
O8 0.587 0.163 0.163
O9 0.587 0.163 0.587
O10 0.587 0.587 0.163
O11 0.837 0.413 0.413
O12 0.837 0.413 0.837
O13 0.837 0.837 0.413
O14 0.875 0.875 0.875

Computed properties:
The uncorrected formation energy comes out at -2.13 eV/atom. Its density of states at the Fermi level is 15.64 states/eV/cell. The density comes out at 6.05 g/cm³.


No. 4
The following is a PBE-GGA calculation of a relaxed structure of HfSbH2, from Alexandria via LeMat-Bulk.

Unit cell a=6.914 b=6.914 c=6.914 alpha=143.93 beta=143.93 gamma=51.93
Atoms (fractional coordinates):
Hf1 0.000 0.000 0.000
Hf2 0.750 0.250 0.500
Sb1 0.250 0.750 0.500
Sb2 0.500 0.500 0.000
H1 0.375 0.126 0.251
H2 0.874 0.125 0.249
H3 0.875 0.124 0.749
H4 0.876 0.625 0.751

Computed properties:
Its density of states at the Fermi level is 3.61 states/eV/cell. The calculation puts the energy relative to the lowest polymorph listed for this composition at 278 meV per atom. The density comes out at 8.81 g/cm³.


No. 5
The following is a PBE-GGA calculation of a relaxed structure of Y3Si5, from Alexandria via LeMat-Bulk.

Unit cell a=5.512 b=7.709 c=8.113 alpha=92.53 beta=93.73 gamma=109.43
Atoms (fractional coordinates):
Y1 0.165 0.325 0.488
Y2 0.265 0.564 0.864
Y3 0.278 0.052 0.824
Y4 0.722 0.948 0.176
Y5 0.735 0.436 0.136
Y6 0.835 0.675 0.512
Si1 0.156 0.806 0.105
Si2 0.177 0.271 0.118
Si3 0.241 0.977 0.370
Si4 0.321 0.586 0.245
Si5 0.376 0.767 0.554
Si6 0.624 0.233 0.446
Si7 0.679 0.414 0.755
Si8 0.759 0.023 0.630
Si9 0.823 0.729 0.882
Si10 0.844 0.194 0.895

Computed properties:
The uncorrected formation energy comes out at -0.54 eV/atom. Its density of states at the Fermi level is 6.62 states/eV/cell. The calculation puts the energy relative to the lowest polymorph listed for this composition at 142 meV per atom. The density comes out at 4.18 g/cm³.


No. 6
The following is a PBE-GGA calculation of a relaxed structure of AcSm3Ir, from Alexandria via LeMat-Bulk.

Unit cell a=8.188 b=7.728 c=10.487 alpha=90.00 beta=106.54 gamma=90.00
Atoms (fractional coordinates):
Ac1 0.184 0.052 0.251
Ac2 0.184 0.448 0.751
Ac3 0.816 0.552 0.249
Ac4 0.816 0.948 0.749
Sm1 0.085 0.699 0.033
Sm2 0.085 0.801 0.533
Sm3 0.297 0.512 0.384
Sm4 0.297 0.988 0.884
Sm5 0.412 0.126 0.607
Sm6 0.412 0.374 0.107
Sm7 0.588 0.626 0.893
Sm8 0.588 0.874 0.393
Sm9 0.703 0.012 0.116
Sm10 0.703 0.488 0.616
Sm11 0.915 0.199 0.467
Sm12 0.915 0.301 0.967
Ir1 0.449 0.746 0.605
Ir2 0.449 0.754 0.105
Ir3 0.551 0.246 0.895
Ir4 0.551 0.254 0.395

Computed properties:
The formation energy comes out at -0.29 eV/atom. Its density of states at the Fermi level is 21.30 states/eV/cell. The calculation puts the energy relative to the lowest polymorph listed for this composition at 0 meV per atom. The density comes out at 9.09 g/cm³.


Q: The highest density of states at the Fermi level belongs to which entry?
A: AcSm3Ir


Q: Look up the density of states at the Fermi level of the second one.
A: 16.00 states/eV/cell


Q: Look up the density of the third one.
A: 6.05 g/cm³


Q: Which formula does entry 4 have?
A: HfSbH2